Computed, not measured: NpMnCoAs2 after structural relaxation at the GGA-PBE level of DFT.

Cell and atoms, written as extended XYZ:
```
5
Lattice="3.9286 0.0000 0.0000 0.0000 3.9286 0.0000 -1.9643 -1.9643 5.2218" Properties=species:S:1:pos:R:3 pbc="T T T"
Np 0.0000 0.0000 0.0000
Mn 0.0000 1.9643 2.6109
Co 1.9643 0.0000 2.6109
As 1.9643 1.9643 1.3791
As 0.0000 0.0000 3.8427
```

Energy of formation from the pure elements ... -0.357 eV per atom



Computed, not measured: Re2SiTc after structural relaxation at the GGA-PBE level of DFT.

Cell and atoms, written as extended XYZ:
```
4
Lattice="4.9299 -0.0053 -0.0164 -2.2189 4.4777 -0.0057 0.4921 0.8511 2.6116" Properties=species:S:1:pos:R:3 pbc="T T T"
Re 0.0000 0.0000 0.0000
Re 2.7110 0.4229 1.2976
Si -0.8634 2.6644 1.3029
Tc 1.3555 2.2362 -0.0111
```

Formation energy (no corrections) ... 186 meV/atom



Computed, not measured: HfTi2B2Ru5 after structural relaxation at the GGA-PBE level of DFT.

Cell and atoms, written as extended XYZ:
```
20
Lattice="3.0555 0.0000 0.0000 0.0000 9.3957 0.0000 0.0000 0.0000 9.3957" Properties=species:S:1:pos:R:3 pbc="T T T"
Hf 0.0000 0.0000 0.0000
Hf 0.0000 4.6978 4.6978
Ti 0.0000 6.3473 1.6494
Ti 0.0000 3.0484 7.7462
Ti 0.0000 1.6494 3.0484
Ti 0.0000 7.7462 6.3473
B 0.0000 1.1450 5.8429
B 0.0000 8.2506 3.5528
B 0.0000 5.8429 8.2506
B 0.0000 3.5528 1.1450
Ru 1.5278 2.0596 0.6977
Ru 1.5278 7.3361 8.6980
Ru 1.5278 0.6977 7.3361
Ru 1.5278 6.7574 4.0001
Ru 1.5278 8.6980 2.0596
Ru 1.5278 2.6382 5.3955
Ru 1.5278 5.3955 6.7574
Ru 1.5278 4.0001 2.6382
Ru 1.5278 4.6978 0.0000
Ru 1.5278 0.0000 4.6978
```

Energy of formation from the pure elements ... -0.562 eV per atom



Question: Number 2 is which compound?
Answer: Re2SiTc